# 1
A geometry-optimized NaPrI2 structure. Source: the Alexandria database, functional PBE-GGA.

Properties
ΔE to the lowest computed polymorph: 0.008 eV per atom
SG: P-6m2 (187)
N(E_F): 1.23 states/eV per cell

Structure (extended XYZ):
```
4
Lattice="4.139 0.000 0.000 -2.069 3.584 0.000 0.000 0.000 9.007" Properties=species:S:1:pos:R:3 pbc="T T T"
Na 0.000 0.000 0.000
Pr 0.000 0.000 4.504
I 0.000 2.389 2.217
I 0.000 2.389 6.790
```


# 2
A geometry-optimized Na4Pr2I9 structure. Source: the Alexandria database, functional PBE-GGA.

Properties
SG: P-1 (2)

Structure (extended XYZ):
```
30
Lattice="8.150 0.000 0.000 4.075 7.059 0.000 0.002 0.007 21.724" Properties=species:S:1:pos:R:3 pbc="T T T"
Na 2.033 1.174 7.153
Na 2.036 1.179 0.326
Na 2.038 1.183 11.188
Na 2.044 1.186 18.016
Na 10.183 5.880 3.708
Na 10.189 5.884 10.536
Na 10.191 5.888 21.398
Na 10.194 5.892 14.571
Pr 6.109 3.529 3.523
Pr 6.111 3.529 7.342
Pr 6.116 3.537 14.382
Pr 6.118 3.538 18.201
I 3.410 3.686 12.709
I 4.628 5.797 1.847
I 3.414 3.387 19.877
I 3.498 3.531 5.434
I 4.893 5.947 9.019
I 4.813 5.800 16.292
I 4.628 1.262 9.016
I 7.339 5.955 19.877
I 4.812 1.275 16.293
I 7.415 5.791 5.431
I 4.888 1.111 1.847
I 7.599 5.804 12.708
I 7.414 1.266 5.432
I 7.334 1.119 12.705
I 8.729 3.535 16.290
I 8.813 3.679 1.847
I 7.599 1.269 19.877
I 8.817 3.380 9.015
```


# 3
A geometry-optimized NaPrI4 structure. Source: the Alexandria database, functional PBE-GGA.

Properties
ΔE to the lowest computed polymorph: 0.029 eV per atom
SG: C2/c (15)
N(E_F): 0.00 states/eV per cell

Structure (extended XYZ):
```
12
Lattice="4.646 -9.589 0.000 4.646 9.589 0.000 -4.475 0.000 6.492" Properties=species:S:1:pos:R:3 pbc="T T T"
Na 1.290 8.045 4.869
Na 3.527 -8.045 1.623
Pr 3.527 1.530 1.623
Pr 1.290 -1.530 4.869
I 1.261 3.513 1.599
I -0.997 0.902 4.971
I 1.241 -0.902 1.726
I -0.977 -3.513 4.845
I 5.794 3.513 1.647
I 3.576 0.902 4.766
I 5.814 -0.902 1.520
I 3.556 -3.513 4.893
```


# 4
A geometry-optimized NaPr2I structure. Source: the Alexandria database, functional PBE-GGA.

Properties
SG: R-3m (166)
N(E_F): 5.35 states/eV per cell

Structure (extended XYZ):
```
4
Lattice="1.865 1.077 12.466 -1.865 1.077 12.466 0.000 -2.153 12.466" Properties=species:S:1:pos:R:3 pbc="T T T"
Na 0.000 0.000 0.000
Pr 0.000 0.000 3.645
Pr 0.000 0.000 33.754
I 0.000 0.000 18.699
```


# 5
A geometry-optimized NaPr2I6 structure. Source: the Alexandria database, functional PBE-GGA.

Properties
ΔE to the lowest computed polymorph: 0.012 eV per atom
SG: P4_2/mnm (136)
N(E_F): 1.40 states/eV per cell

Structure (extended XYZ):
```
18
Lattice="7.716 0.000 0.000 0.000 7.716 0.000 0.000 0.000 13.528" Properties=species:S:1:pos:R:3 pbc="T T T"
Na 0.000 0.000 0.000
Na 3.858 3.858 6.764
Pr 0.000 0.000 4.692
Pr 0.000 0.000 8.835
Pr 3.858 3.858 2.071
Pr 3.858 3.858 11.456
I 1.589 1.589 2.326
I 1.589 1.589 11.202
I 1.656 1.656 6.764
I 2.202 5.514 0.000
I 2.269 5.447 4.438
I 2.269 5.447 9.090
I 5.447 2.269 4.438
I 5.447 2.269 9.090
I 5.514 2.202 0.000
I 6.060 6.060 6.764
I 6.127 6.127 2.326
I 6.127 6.127 11.202
```


# 6
A geometry-optimized NaPrI2 structure. Source: the Alexandria database, functional PBE-GGA.

Properties
ΔE to the lowest computed polymorph: 0.045 eV per atom
SG: P4/mmm (123)
N(E_F): 1.05 states/eV per cell

Structure (extended XYZ):
```
4
Lattice="3.999 0.000 0.000 0.000 3.999 0.000 0.000 0.000 7.840" Properties=species:S:1:pos:R:3 pbc="T T T"
Na 0.000 0.000 0.000
Pr 0.000 0.000 3.920
I 1.999 1.999 2.084
I 1.999 1.999 5.756
```


Number 1: final energy -3.31 eV per atom, raw formation energy -97.1 kJ per mole of atoms, magnetic moment 0.000 μB per atom. Number 2: final energy -3.21 eV per atom, raw formation energy -124.1 kJ per mole of atoms, magnetic moment 0.067 μB per atom. Number 3: final energy -3.38 eV per atom, raw formation energy -128.1 kJ per mole of atoms, magnetic moment 0.000 μB per atom. Number 4: final energy -3.29 eV per atom, raw formation energy -17.5 kJ per mole of atoms, magnetic moment 0.000 μB per atom. Number 5: final energy -3.53 eV per atom, raw formation energy -124.4 kJ per mole of atoms, magnetic moment 0.115 μB per atom. Number 6: final energy -3.27 eV per atom, raw formation energy -93.6 kJ per mole of atoms, magnetic moment 0.000 μB per atom.